This record from Alexandria via LeMat-Bulk describes a geometry-optimized NdErAgRh structure. The functional is GGA-PBE.

abc: 7.1426 7.1426 7.1426
angles: 90.00 90.00 90.00
Fractional coordinates of all 16 atoms:
1 Nd 0.0000 0.0000 0.0000
2 Nd 0.0000 0.5000 0.5000
3 Nd 0.5000 0.0000 0.5000
4 Nd 0.5000 0.5000 0.0000
5 Er 0.0000 0.0000 0.5000
6 Er 0.0000 0.5000 0.0000
7 Er 0.5000 0.0000 0.0000
8 Er 0.5000 0.5000 0.5000
9 Ag 0.2500 0.2500 0.2500
10 Ag 0.2500 0.7500 0.7500
11 Ag 0.7500 0.2500 0.7500
12 Ag 0.7500 0.7500 0.2500
13 Rh 0.2500 0.2500 0.7500
14 Rh 0.2500 0.7500 0.2500
15 Rh 0.7500 0.2500 0.2500
16 Rh 0.7500 0.7500 0.7500

Total energy, eV per atom: -5.39
Calculated density, g/cm³: 9.52
SG: No. 216
ΔH_f (0 K), meV per atom: -508